# Dy3Tm5Sn2 PBE relaxed
# Energy relative to the elements, eV per atom: -0.034
data_Dy3Tm5Sn2
_chemical_formula_sum 'Dy12 Tm20 Sn8'
_symmetry_space_group_name_H-M 'I b a m'
_symmetry_Int_Tables_number 72
_symmetry_space_group_name_Hall '-I 2 2c'
_cell_length_a 12.614
_cell_length_b 15.543
_cell_length_c 6.263
_cell_angle_alpha 90.00
_cell_angle_beta 90.00
_cell_angle_gamma 90.00
loop_
_atom_site_label
_atom_site_fract_x
_atom_site_fract_y
_atom_site_fract_z
Dy1 0.000 0.000 0.250
Dy2 0.119 0.213 0.000
Tm1 0.000 0.500 0.250
Tm2 0.105 0.335 0.500
Tm3 0.249 0.500 0.250
Sn1 0.141 0.147 0.500

***

# AlHg3C PBE relaxed
# ΔE to the lowest computed polymorph, meV/atom: 0
# Energy relative to the elements, eV per atom: 1.090
data_AlHg3C
_chemical_formula_sum 'Al1 Hg3 C1'
_symmetry_space_group_name_H-M 'P m -3 m'
_symmetry_Int_Tables_number 221
_symmetry_space_group_name_Hall '-P 4 2 3'
_cell_length_a 4.811
_cell_length_b 4.811
_cell_length_c 4.811
_cell_angle_alpha 90.00
_cell_angle_beta 90.00
_cell_angle_gamma 90.00
loop_
_atom_site_label
_atom_site_fract_x
_atom_site_fract_y
_atom_site_fract_z
Al1 0.000 0.000 0.000
Hg1 0.000 0.500 0.500
C1 0.500 0.500 0.500

***

# ScBF3 PBE relaxed
# ΔE to the lowest computed polymorph, meV/atom: 830
data_ScBF3
_chemical_formula_sum 'Sc1 B1 F3'
_symmetry_space_group_name_H-M 'P m -3 m'
_symmetry_Int_Tables_number 221
_symmetry_space_group_name_Hall '-P 4 2 3'
_cell_length_a 3.956
_cell_length_b 3.956
_cell_length_c 3.956
_cell_angle_alpha 90.00
_cell_angle_beta 90.00
_cell_angle_gamma 90.00
loop_
_atom_site_label
_atom_site_fract_x
_atom_site_fract_y
_atom_site_fract_z
Sc1 0.000 0.000 0.000
B1 0.500 0.500 0.500
F1 0.000 0.500 0.500

***

# YMgCd PBE relaxed
# Energy relative to the elements, eV per atom: -0.053
data_YMgCd
_chemical_formula_sum 'Y1 Mg1 Cd1'
_symmetry_space_group_name_H-M 'P 3 m 1'
_symmetry_Int_Tables_number 156
_cell_length_a 3.5197
_cell_length_b 3.5197
_cell_length_c 7.5273
_cell_angle_alpha 90.00
_cell_angle_beta 90.00
_cell_angle_gamma 120.00
loop_
_symmetry_equiv_pos_as_xyz
'x,y,z'
'-y,x-y,z'
'-x+y,-x,z'
'-y,-x,z'
'-x+y,y,z'
'x,x-y,z'
loop_
_atom_site_label
_atom_site_fract_x
_atom_site_fract_y
_atom_site_fract_z
Y1 0.0000 0.0000 0.0000
Mg1 0.6667 0.3333 0.6420
Cd1 0.3333 0.6667 0.3370

***

Material: Ba2NdCdSe5
Method: DFT, PBE
State: relaxed

```
data_Ba2NdCdSe5
_chemical_formula_sum 'Ba8 Nd4 Cd4 Se20'
_symmetry_space_group_name_H-M 'C m c 21'
_symmetry_Int_Tables_number 36
_cell_length_a 4.411
_cell_length_b 19.129
_cell_length_c 13.333
_cell_angle_alpha 90.00
_cell_angle_beta 90.00
_cell_angle_gamma 90.00
loop_
_symmetry_equiv_pos_as_xyz
'x,y,z'
'-x,-y,z+1/2'
'-x,y,z'
'x,-y,z+1/2'
'x+1/2,y+1/2,z'
'-x+1/2,-y+1/2,z+1/2'
'-x+1/2,y+1/2,z'
'x+1/2,-y+1/2,z+1/2'
loop_
_atom_site_label
_atom_site_fract_x
_atom_site_fract_y
_atom_site_fract_z
Ba1 0.000 0.114 0.000
Ba2 0.000 0.129 0.629
Nd1 0.000 0.208 0.328
Cd1 0.000 0.451 0.760
Se1 0.000 0.051 0.372
Se2 0.000 0.291 0.977
Se3 0.000 0.311 0.678
Se4 0.000 0.359 0.319
Se5 0.000 0.495 0.081
```

***

# TaAgW4 PBE relaxed
# Energy relative to the elements, eV per atom: 0.460
data_TaAgW4
_chemical_formula_sum 'Ta4 Ag4 W16'
_symmetry_space_group_name_H-M 'F -4 3 m'
_symmetry_Int_Tables_number 216
_symmetry_space_group_name_Hall 'F -4 2 3'
_cell_length_a 7.494
_cell_length_b 7.494
_cell_length_c 7.494
_cell_angle_alpha 90.00
_cell_angle_beta 90.00
_cell_angle_gamma 90.00
loop_
_atom_site_label
_atom_site_fract_x
_atom_site_fract_y
_atom_site_fract_z
Ta1 0.000 0.000 0.000
Ag1 0.250 0.250 0.250
W1 0.125 0.125 0.625

***

# SrGa3NiIr PBE relaxed
# Energy relative to the elements, eV per atom: -0.379
data_SrGa3NiIr
_chemical_formula_sum 'Sr4 Ga12 Ni4 Ir4'
_symmetry_space_group_name_H-M 'C m c m'
_symmetry_Int_Tables_number 63
_symmetry_space_group_name_Hall '-C 2c 2'
_cell_length_a 7.248
_cell_length_b 11.310
_cell_length_c 6.091
_cell_angle_alpha 90.00
_cell_angle_beta 90.00
_cell_angle_gamma 90.00
loop_
_atom_site_label
_atom_site_fract_x
_atom_site_fract_y
_atom_site_fract_z
Sr1 0.000 0.227 0.250
Ga1 0.000 0.289 0.750
Ga2 0.246 0.000 0.000
Ni1 0.000 0.486 0.750
Ir1 0.000 0.081 0.750

***

Material: BaLiScS3
Method: DFT, PBE
State: relaxed

```
data_BaLiScS3
_chemical_formula_sum 'Ba2 Li2 Sc2 S6'
_symmetry_space_group_name_H-M 'P 1 21/m 1'
_symmetry_Int_Tables_number 11
_cell_length_a 8.244
_cell_length_b 3.980
_cell_length_c 8.841
_cell_angle_alpha 90.00
_cell_angle_beta 107.61
_cell_angle_gamma 90.00
loop_
_symmetry_equiv_pos_as_xyz
'x,y,z'
'-x,-y,-z'
'-x,y+1/2,-z'
'x,-y+1/2,z'
loop_
_atom_site_label
_atom_site_fract_x
_atom_site_fract_y
_atom_site_fract_z
Ba1 0.209 0.250 0.250
Li1 0.089 0.250 0.595
Sc1 0.326 0.750 0.847
S1 0.121 0.250 0.868
S2 0.219 0.750 0.540
S3 0.461 0.750 0.154
```

***

# CuPb2W PBE relaxed
# ΔE to the lowest computed polymorph, meV/atom: 116
# Energy relative to the elements, eV per atom: 0.657
data_CuPb2W
_chemical_formula_sum 'Cu1 Pb2 W1'
_symmetry_space_group_name_H-M 'P 1 m 1'
_symmetry_Int_Tables_number 6
_cell_length_a 3.771
_cell_length_b 4.222
_cell_length_c 5.597
_cell_angle_alpha 90.00
_cell_angle_beta 109.55
_cell_angle_gamma 90.00
loop_
_symmetry_equiv_pos_as_xyz
'x,y,z'
'x,-y,z'
loop_
_atom_site_label
_atom_site_fract_x
_atom_site_fract_y
_atom_site_fract_z
Cu1 0.000 0.000 0.000
Pb1 0.283 0.000 0.567
Pb2 0.575 0.500 0.154
W1 0.859 0.500 0.720

***

# Y2MnGe2 PBE relaxed
# Energy relative to the elements, eV per atom: 0.122
data_Y2MnGe2
_chemical_formula_sum 'Y4 Mn2 Ge4'
_symmetry_space_group_name_H-M 'I 4/m m m'
_symmetry_Int_Tables_number 139
_symmetry_space_group_name_Hall '-I 4 2'
_cell_length_a 4.865
_cell_length_b 4.865
_cell_length_c 11.207
_cell_angle_alpha 90.00
_cell_angle_beta 90.00
_cell_angle_gamma 90.00
loop_
_atom_site_label
_atom_site_fract_x
_atom_site_fract_y
_atom_site_fract_z
Y1 0.000 0.500 0.250
Mn1 0.000 0.000 0.000
Ge1 0.000 0.000 0.394

***

Material: AlZnTe2O8
Method: DFT, PBE
State: relaxed

```
data_AlZnTe2O8
_chemical_formula_sum 'Al2 Zn2 Te4 O16'
_symmetry_space_group_name_H-M 'I -4 m 2'
_symmetry_Int_Tables_number 119
_symmetry_space_group_name_Hall 'I -4 -2'
_cell_length_a 6.578
_cell_length_b 6.578
_cell_length_c 6.983
_cell_angle_alpha 90.00
_cell_angle_beta 90.00
_cell_angle_gamma 90.00
loop_
_atom_site_label
_atom_site_fract_x
_atom_site_fract_y
_atom_site_fract_z
Al1 0.000 0.000 0.000
Zn1 0.000 0.500 0.750
Te1 0.000 0.000 0.500
Te2 0.000 0.500 0.250
O1 0.000 0.201 0.685
O2 0.000 0.281 0.063
```

***

# Ca3DyRh8 PBE relaxed
# Energy relative to the elements, eV per atom: -0.521
data_Ca3DyRh8
_chemical_formula_sum 'Ca9 Dy3 Rh24'
_symmetry_space_group_name_H-M 'R 3 m'
_symmetry_Int_Tables_number 160
_symmetry_space_group_name_Hall 'R 3 -2"'
_cell_length_a 5.3402
_cell_length_b 5.3402
_cell_length_c 26.2633
_cell_angle_alpha 90.00
_cell_angle_beta 90.00
_cell_angle_gamma 120.00
loop_
_atom_site_label
_atom_site_fract_x
_atom_site_fract_y
_atom_site_fract_z
Ca1 0.0000 0.0000 0.0000
Ca2 0.0000 0.0000 0.1235
Ca3 0.0000 0.0000 0.4967
Dy1 0.0000 0.0000 0.6231
Rh1 0.0000 0.0000 0.3108
Rh2 0.0000 0.0000 0.8107
Rh3 0.0012 0.5006 0.5617
Rh4 0.1674 0.3348 0.3932

***

| no. | uncorrected energy (eV per cell) | magnetization (Bohr magnetons per cell) |
| --- | --- | --- |
| 1 | -178.04 | 0.0 |
| 2 | -8.42 | 0.0 |
| 3 | -23.94 | 1.2 |
| 4 | -9.13 | 0.0 |
| 5 | -162.30 | 0.0 |
| 6 | -255.02 | 0.0 |
| 7 | -110.71 | 0.0 |
| 8 | -67.20 | 0.0 |
| 9 | -21.84 | 0.0 |
| 10 | -61.45 | 8.5 |
| 11 | -127.20 | 1.1 |
| 12 | -227.00 | 0.0 |